LaEr2Pd | PBE-GGA | relaxed

Unit cell a=9.954 b=9.954 c=9.954 alpha=21.72 beta=21.72 gamma=21.72
Fractional positions:
1 La 0.000 0.000 0.000
2 Er 0.229 0.229 0.229
3 Er 0.771 0.771 0.771
4 Pd 0.500 0.500 0.500

- E above lowest polymorph (meV per atom) = 152.6
- ΔE_f (eV per atom) = -0.31


RbNa2HgBi | PBE-GGA | relaxed

Unit cell a=6.050 b=6.050 c=7.245 alpha=90.00 beta=90.00 gamma=90.00
Fractional positions:
1 Rb 0.000 0.000 0.000
2 Na 0.000 0.500 0.500
3 Na 0.500 0.000 0.500
4 Hg 0.500 0.500 0.000
5 Bi 0.000 0.000 0.500

- E above lowest polymorph (meV per atom) = 0.0
- ΔE_f (eV per atom) = -0.18


TaCrCu2 | PBE-GGA | relaxed

Unit cell a=8.974 b=8.974 c=8.974 alpha=17.30 beta=17.30 gamma=17.30
Fractional positions:
1 Ta 0.000 0.000 0.000
2 Cr 0.757 0.757 0.757
3 Cu 0.245 0.245 0.245
4 Cu 0.501 0.501 0.501

- E above lowest polymorph (meV per atom) = 173.1
- ΔE_f (eV per atom) = 0.36


PrMg2In | PBE-GGA | relaxed

Unit cell a=3.596 b=3.596 c=8.230 alpha=90.00 beta=90.00 gamma=90.00
Fractional positions:
1 Pr 0.000 0.000 0.000
2 Mg 0.500 0.500 0.285
3 Mg 0.500 0.500 0.715
4 In 0.000 0.000 0.500

- E above lowest polymorph (meV per atom) = 157.8
- ΔE_f (eV per atom) = -0.13


PmAgPdAu | PBE-GGA | relaxed

Unit cell a=4.905 b=4.905 c=4.905 alpha=60.00 beta=60.00 gamma=60.00
Fractional positions:
1 Pm 0.000 0.000 0.000
2 Ag 0.500 0.500 0.500
3 Pd 0.750 0.750 0.750
4 Au 0.250 0.250 0.250

- ΔE_f (eV per atom) = -0.54


Sr2Hg5Bi | PBE-GGA | relaxed

Unit cell a=9.968 b=9.968 c=10.341 alpha=90.00 beta=90.00 gamma=151.85
Fractional positions:
1 Sr 0.000 0.000 0.000
2 Sr 0.000 0.000 0.500
3 Sr 0.195 0.805 0.750
4 Sr 0.805 0.195 0.250
5 Hg 0.197 0.803 0.103
6 Hg 0.197 0.803 0.397
7 Hg 0.354 0.646 0.035
8 Hg 0.354 0.646 0.465
9 Hg 0.382 0.618 0.750
10 Hg 0.618 0.382 0.250
11 Hg 0.646 0.354 0.535
12 Hg 0.646 0.354 0.965
13 Hg 0.803 0.197 0.603
14 Hg 0.803 0.197 0.897
15 Bi 0.463 0.537 0.250
16 Bi 0.537 0.463 0.750

- ΔE_f (eV per atom) = -0.40


TbDy4Tl4 | PBE-GGA | relaxed

Unit cell a=9.408 b=9.408 c=5.916 alpha=90.00 beta=90.00 gamma=90.00
Fractional positions:
1 Tb 0.250 0.250 0.250
2 Tb 0.750 0.750 0.750
3 Dy 0.090 0.827 0.633
4 Dy 0.173 0.590 0.133
5 Dy 0.327 0.910 0.133
6 Dy 0.410 0.673 0.633
7 Dy 0.590 0.327 0.367
8 Dy 0.673 0.090 0.867
9 Dy 0.827 0.410 0.867
10 Dy 0.910 0.173 0.367
11 Tl 0.041 0.147 0.860
12 Tl 0.147 0.459 0.640
13 Tl 0.353 0.041 0.640
14 Tl 0.459 0.353 0.860
15 Tl 0.541 0.647 0.140
16 Tl 0.647 0.959 0.360
17 Tl 0.853 0.541 0.360
18 Tl 0.959 0.853 0.140

- ΔE_f (eV per atom) = -0.16


Cd4Pd3 | PBE-GGA | relaxed

Unit cell a=11.334 b=11.334 c=11.334 alpha=164.39 beta=161.19 gamma=24.54
Fractional positions:
1 Cd 0.070 0.070 0.000
2 Cd 0.209 0.209 0.000
3 Cd 0.791 0.791 0.000
4 Cd 0.930 0.930 0.000
5 Pd 0.360 0.360 0.000
6 Pd 0.500 0.500 0.000
7 Pd 0.640 0.640 0.000

- E above lowest polymorph (meV per atom) = 0.0
- ΔE_f (eV per atom) = -0.34